This record from Alexandria via LeMat-Bulk describes a geometry-optimized RbV2F structure. The functional is GGA+U.

abc: 5.336 5.336 5.336
angles: 60.00 60.00 60.00
Each line ends with the local moment (μB).
Fractional coordinates of all 4 atoms:
Rb1 0.500 0.500 0.500  0.14
V1 0.250 0.250 0.250  3.34
F1 0.000 0.000 0.000  0.11
V2 0.750 0.750 0.750  3.34

Summary:
DOS(E_F) ... 3.8 states/eV per cell
Distance to the lowest polymorph of the same formula ... 3.59 eV per formula unit
Crystal system ... cubic
SG ... Fm-3m, No. 225
Total magnetization ... 9.0 Bohr magnetons per cell